First-principles (PBE-GGA) data for crystalline TaTi2CdCl at its relaxed geometry, as listed in Alexandria.

Structure (extended XYZ):
```
5
Lattice="4.950 0.000 0.000 0.000 4.950 0.000 0.000 0.000 4.853" Properties=species:S:1:pos:R:3 pbc="T T T"
Ta 0.000 0.000 0.000
Ti 0.000 2.475 0.000
Ti 2.475 0.000 0.000
Cd 2.475 2.475 2.426
Cl 0.000 0.000 2.426
```

Properties
Space-group type: P4/mmm
ΔE_f (raw): 3.94 eV/f.u.
Spin magnetization: 0.00 μB/cell



First-principles (PBE-GGA) data for crystalline TaTlCdCl2 at its relaxed geometry, as listed in Alexandria.

Structure (extended XYZ):
```
5
Lattice="4.757 0.000 0.000 0.000 4.757 0.000 0.000 0.000 5.960" Properties=species:S:1:pos:R:3 pbc="T T T"
Ta 0.000 0.000 0.000
Tl 0.000 0.000 2.980
Cd 2.378 2.378 2.980
Cl 0.000 2.378 0.000
Cl 2.378 0.000 0.000
```

Properties
Space-group type: P4/mmm
ΔE_f (raw): -0.69 eV/f.u.
Spin magnetization: 0.00 μB/cell



First-principles (PBE-GGA) data for crystalline TaZnCd2Cl at its relaxed geometry, as listed in Alexandria.

Structure (extended XYZ):
```
5
Lattice="5.264 0.000 0.000 0.000 5.264 0.000 0.000 0.000 4.514" Properties=species:S:1:pos:R:3 pbc="T T T"
Ta 0.000 0.000 0.000
Zn 2.632 2.632 0.000
Cd 0.000 2.632 2.257
Cd 2.632 0.000 2.257
Cl 0.000 0.000 2.257
```

Properties
Space-group type: P4/mmm
ΔE_f (raw): 5.14 eV/f.u.
Spin magnetization: 0.00 μB/cell



First-principles (PBE-GGA) data for crystalline TaZnCdCl2 at its relaxed geometry, as listed in Alexandria.

Structure (extended XYZ):
```
5
Lattice="4.917 0.000 0.000 0.000 4.917 0.000 0.000 0.000 6.029" Properties=species:S:1:pos:R:3 pbc="T T T"
Ta 0.000 0.000 0.000
Zn 2.458 2.458 0.000
Cd 2.458 2.458 3.014
Cl 0.000 2.458 3.014
Cl 2.458 0.000 3.014
```

Properties
Space-group type: P4/mmm
ΔE_f (raw): 4.91 eV/f.u.
Spin magnetization: 3.25 μB/cell



First-principles (PBE-GGA) data for crystalline TbCdCl5 at its relaxed geometry, as listed in Alexandria.

Structure (extended XYZ):
```
14
Lattice="3.739 -6.717 0.000 3.739 6.717 0.000 -3.450 0.000 9.093" Properties=species:S:1:pos:R:3 pbc="T T T"
Tb 0.000 0.000 0.000
Tb -1.725 0.000 4.546
Cd 1.152 0.547 6.820
Cd 2.877 -0.547 2.273
Cl -0.718 2.019 5.981
Cl 1.152 5.580 6.820
Cl 2.372 1.169 0.430
Cl 1.007 -2.019 1.435
Cl 0.647 -1.169 4.976
Cl 3.381 1.169 4.117
Cl 3.022 2.019 7.658
Cl 1.656 -1.169 8.663
Cl 2.877 -5.580 2.273
Cl 4.747 -2.019 3.111
```

Properties
Space-group type: C2/c
ΔE_f (raw): -12.02 eV/f.u.
Spin magnetization: 0.00 μB/cell



First-principles (PBE-GGA) data for crystalline TbCdCl at its relaxed geometry, as listed in Alexandria.

Structure (extended XYZ):
```
6
Lattice="3.330 -1.923 0.000 3.330 1.923 0.000 -2.142 0.000 13.330" Properties=species:S:1:pos:R:3 pbc="T T T"
Tb 0.000 0.000 0.000
Tb 2.297 0.000 6.952
Cd 0.076 0.000 9.177
Cd 2.297 0.000 11.128
Cl 2.220 0.000 1.697
Cl 4.517 0.000 5.276
```

Properties
Space-group type: Cm
ΔE_f (raw): -3.07 eV/f.u.
Spin magnetization: 0.00 μB/cell



First-principles (PBE-GGA) data for crystalline TbCdCl5 at its relaxed geometry, as listed in Alexandria.

Structure (extended XYZ):
```
14
Lattice="5.631 -4.281 0.000 5.631 4.281 0.000 -3.634 0.000 8.555" Properties=species:S:1:pos:R:3 pbc="T T T"
Tb 2.905 3.847 6.416
Tb 4.722 -3.847 2.139
Cd 5.631 0.000 0.000
Cd 3.813 0.000 4.278
Cl 5.296 2.739 0.337
Cl 4.148 2.739 3.940
Cl 1.507 0.391 3.092
Cl -0.311 -0.391 7.370
Cl 2.905 1.081 6.416
Cl 4.722 -1.081 2.139
Cl 7.937 0.391 1.185
Cl 6.120 -0.391 5.463
Cl 3.479 -2.739 4.615
Cl 2.330 -2.739 8.218
```

Properties
Space-group type: C2/c
ΔE_f (raw): -11.82 eV/f.u.
Spin magnetization: 0.00 μB/cell



First-principles (PBE-GGA) data for crystalline TbCd2Cl8 at its relaxed geometry, as listed in Alexandria.

Structure (extended XYZ):
```
11
Lattice="-3.480 3.480 6.250 3.480 -3.480 6.250 3.480 3.480 -6.250" Properties=species:S:1:pos:R:3 pbc="T T T"
Tb 0.000 0.000 0.000
Cd 3.480 0.000 3.125
Cd 0.000 3.480 3.125
Cl 4.908 1.253 -1.436
Cl 1.253 2.051 -1.436
Cl 2.051 1.253 1.436
Cl 2.226 -1.429 7.686
Cl 2.226 1.429 4.814
Cl -1.429 2.226 4.814
Cl 1.253 4.908 1.436
Cl 1.429 2.226 7.686
```

Properties
Space-group type: I422
ΔE_f (raw): -13.73 eV/f.u.
Spin magnetization: 0.00 μB/cell